Below is a geometry-optimized Li2VB2Rh5 structure, with properties calculated at the GGA-PBE level.

Results
As for the crystal system: tetragonal. The theoretical density comes out at 8.0 g/cm³. As for the total magnetic moment: 0.00 Bohr magnetons per cell. Its total energy is -134.2 eV for the cell shown.

Cell lengths 9.321, 9.321, 2.878 Å; angles 90.00, 90.00, 90.00 degrees
Element x y z (fractional)
Li 0.175 0.325 0.000
Li 0.325 0.825 0.000
Li 0.675 0.175 0.000
Li 0.825 0.675 0.000
V 0.000 0.000 0.000
V 0.500 0.500 0.000
B 0.124 0.624 0.000
B 0.376 0.124 0.000
B 0.624 0.876 0.000
B 0.876 0.376 0.000
Rh 0.000 0.500 0.500
Rh 0.072 0.788 0.500
Rh 0.212 0.072 0.500
Rh 0.288 0.572 0.500
Rh 0.428 0.288 0.500
Rh 0.500 0.000 0.500
Rh 0.572 0.712 0.500
Rh 0.712 0.428 0.500
Rh 0.788 0.928 0.500
Rh 0.928 0.212 0.500



Below is a geometry-optimized LiYBRh2 structure, with properties calculated at the GGA-PBE level.

Results
As for the crystal system: tetragonal. The theoretical density comes out at 7.0 g/cm³. As for the total magnetic moment: 0.00 Bohr magnetons per cell. Its total energy is -32.8 eV for the cell shown.

Cell lengths 4.196, 4.196, 4.230 Å; angles 90.00, 90.00, 90.00 degrees
Element x y z (fractional)
Li 0.000 0.000 0.000
Y 0.500 0.500 0.000
B 0.000 0.000 0.500
Rh 0.000 0.500 0.500
Rh 0.500 0.000 0.500



Below is a geometry-optimized Li2ZnB2Rh5 structure, with properties calculated at the GGA-PBE level.

Results
As for the crystal system: tetragonal. The theoretical density comes out at 8.1 g/cm³. As for the total magnetic moment: 0.00 Bohr magnetons per cell. Its total energy is -118.5 eV for the cell shown.

Cell lengths 9.354, 9.354, 2.875 Å; angles 90.00, 90.00, 90.00 degrees
Element x y z (fractional)
Li 0.174 0.326 0.000
Li 0.326 0.826 0.000
Li 0.674 0.174 0.000
Li 0.826 0.674 0.000
Zn 0.000 0.000 0.000
Zn 0.500 0.500 0.000
B 0.127 0.627 0.000
B 0.373 0.127 0.000
B 0.627 0.873 0.000
B 0.873 0.373 0.000
Rh 0.000 0.500 0.500
Rh 0.072 0.784 0.500
Rh 0.216 0.072 0.500
Rh 0.284 0.572 0.500
Rh 0.428 0.284 0.500
Rh 0.500 0.000 0.500
Rh 0.572 0.716 0.500
Rh 0.716 0.428 0.500
Rh 0.784 0.928 0.500
Rh 0.928 0.216 0.500



Below is a geometry-optimized LiZnBRh2 structure, with properties calculated at the GGA-PBE level.

Results
As for the crystal system: tetragonal. The theoretical density comes out at 7.3 g/cm³. As for the total magnetic moment: 0.00 Bohr magnetons per cell. Its total energy is -25.9 eV for the cell shown.

Cell lengths 4.044, 4.044, 4.000 Å; angles 90.00, 90.00, 90.00 degrees
Element x y z (fractional)
Li 0.000 0.000 0.000
Zn 0.500 0.500 0.000
B 0.000 0.000 0.500
Rh 0.000 0.500 0.500
Rh 0.500 0.000 0.500



Below is a geometry-optimized LiZnBRh2 structure, with properties calculated at the GGA-PBE level.

Results
As for the crystal system: tetragonal. The theoretical density comes out at 7.1 g/cm³. As for the total magnetic moment: 0.00 Bohr magnetons per cell. Its total energy is -25.5 eV for the cell shown.

Cell lengths 4.082, 4.082, 4.055 Å; angles 90.00, 90.00, 90.00 degrees
Element x y z (fractional)
Li 0.000 0.000 0.000
Zn 0.500 0.500 0.000
B 0.500 0.500 0.500
Rh 0.000 0.500 0.500
Rh 0.500 0.000 0.500



Below is a geometry-optimized LiBRu3 structure, with properties calculated at the GGA-PBE level.

Results
As for the crystal system: cubic. The theoretical density comes out at 8.3 g/cm³. As for the total magnetic moment: 1.97 Bohr magnetons per cell. Its total energy is -27.9 eV for the cell shown.

Cell lengths 4.000, 4.000, 4.000 Å; angles 90.00, 90.00, 90.00 degrees
Element x y z (fractional)
Li 0.000 0.000 0.000
B 0.500 0.500 0.500
Ru 0.000 0.000 0.500
Ru 0.000 0.500 0.000
Ru 0.500 0.000 0.000



Below is a geometry-optimized LiBRu structure, with properties calculated at the GGA-PBE level.

Results
As for the crystal system: trigonal. The theoretical density comes out at 5.5 g/cm³. As for the total magnetic moment: 0.60 Bohr magnetons per cell. Its total energy is -36.2 eV for the cell shown.

Cell lengths 7.185, 7.185, 7.185 Å; angles 27.98, 27.98, 27.98 degrees
Element x y z (fractional)
Li 0.132 0.132 0.132
Li 0.868 0.868 0.868
B 0.403 0.403 0.403
B 0.597 0.597 0.597
Ru 0.288 0.288 0.288
Ru 0.712 0.712 0.712



Below is a geometry-optimized LiBRu2 structure, with properties calculated at the GGA-PBE level.

Results
As for the crystal system: trigonal. The theoretical density comes out at 7.4 g/cm³. As for the total magnetic moment: 0.00 Bohr magnetons per cell. Its total energy is -80.7 eV for the cell shown.

Cell lengths 2.795, 2.795, 21.987 Å; angles 90.00, 90.00, 120.00 degrees
Element x y z (fractional)
Li 0.000 0.000 0.000
Li 0.333 0.667 0.667
Li 0.667 0.333 0.333
B 0.000 0.000 0.167
B 0.333 0.667 0.833
B 0.667 0.333 0.500
Ru 0.000 0.000 0.564
Ru 0.000 0.000 0.769
Ru 0.333 0.667 0.231
Ru 0.333 0.667 0.436
Ru 0.667 0.333 0.102
Ru 0.667 0.333 0.898



> What is the total magnetic moment in the second record?

0.00 Bohr magnetons per cell



> Which value of theoretical density does entry 1 give?

8.0 g/cm³